! Sc3S2O2 PBE optimized geometry; values from VASP
&SYSTEM
  ibrav = 0, nat = 7, ntyp = 3
/
ATOMIC_SPECIES
O 16.00 O.upf
S 32.06 S.upf
Sc 44.96 Sc.upf
ATOMIC_POSITIONS angstrom
O 0.000 1.092 1.854
O 1.755 2.285 3.712
S 1.755 4.298 1.237
S 0.000 -0.921 4.329
Sc 0.000 0.000 0.000
Sc 0.000 3.011 2.690
Sc 1.755 0.366 2.876
CELL_PARAMETERS angstrom
3.510 0.000 0.000
0.000 5.878 0.157
-1.755 -2.501 5.408
! Energy relative to the elements, uncorrected: -2.6557 eV per atom
! DOS(E_F): 2.9 states/eV per cell
! Crystal system: monoclinic
! Volume: 113.0 Å³/cell